A plane-wave DFT calculation with PBE was carried out for crystalline TiBiS2 at its relaxed geometry.

Results
DOS at the Fermi energy ... 5.29 states/eV per cell
V ... 86.2 Å³/f.u.
Formation energy without anion corrections ... -310 kJ/mol of formula units
Size of the total moment ... 0.20 μB per formula unit

abc: 14.7330 14.7330 3.5959
angles: 90.00 90.00 167.24
Sites, in units of the cell vectors:
1 Ti 0.1911 0.8089 0.7500
2 Ti 0.8089 0.1911 0.2500
3 Bi 0.4534 0.5466 0.7500
4 Bi 0.5466 0.4534 0.2500
5 S 0.2810 0.7190 0.7500
6 S 0.3684 0.6316 0.2500
7 S 0.6316 0.3684 0.7500
8 S 0.7190 0.2810 0.2500

A plane-wave DFT calculation with PBE was carried out for crystalline Ti5BiS at its relaxed geometry.

Results
DOS at the Fermi energy ... 15.21 states/eV per cell
V ... 128.5 Å³/f.u.
Formation energy without anion corrections ... -242 kJ/mol of formula units
Size of the total moment ... 0.00 μB per formula unit

abc: 5.6227 5.6227 8.3423
angles: 98.02 98.02 95.01
Sites, in units of the cell vectors:
1 Ti 0.1038 0.6359 0.3568
2 Ti 0.1188 0.8812 0.7500
3 Ti 0.1749 0.3726 0.9699
4 Ti 0.3641 0.8962 0.1432
5 Ti 0.3726 0.1749 0.4699
6 Ti 0.6274 0.8251 0.5301
7 Ti 0.6359 0.1038 0.8568
8 Ti 0.8251 0.6274 0.0301
9 Ti 0.8812 0.1188 0.2500
10 Ti 0.8962 0.3641 0.6432
11 Bi 0.4567 0.5433 0.7500
12 Bi 0.5433 0.4567 0.2500
13 S 0.0000 0.0000 0.0000
14 S 0.0000 0.0000 0.5000

A plane-wave DFT calculation with PBE was carried out for crystalline TiBiS2 at its relaxed geometry.

Results
DOS at the Fermi energy ... 7.66 states/eV per cell
V ... 89.6 Å³/f.u.
Formation energy without anion corrections ... -162 kJ/mol of formula units
Size of the total moment ... 1.35 μB per formula unit

abc: 7.3217 7.3217 7.3217
angles: 137.18 137.18 62.17
Sites, in units of the cell vectors:
1 Ti 0.3750 0.6250 0.7500
2 Ti 0.6250 0.3750 0.2500
3 Bi 0.1250 0.8750 0.2500
4 Bi 0.8750 0.1250 0.7500
5 S 0.1756 0.4256 0.7500
6 S 0.4256 0.1756 0.2500
7 S 0.5744 0.8244 0.7500
8 S 0.8244 0.5744 0.2500